DFT (GGA-PBE) results for crystalline Bi6SO8 at its relaxed geometry.

abc: 6.8965 6.8965 7.8472
angles: 63.93 63.93 60.00
With the nearest neighbours (Å) after each atom.
Positions (direct):
1 Bi 0.4278 0.1136 0.7249  3 O 2.17-2.31
2 Bi 0.2663 0.5722 0.2751  3 O 2.17-2.31
3 Bi 0.1136 0.7337 0.7249  3 O 2.17-2.31
4 Bi 0.7337 0.4278 0.7249  3 O 2.17-2.31
5 Bi 0.8864 0.2663 0.2751  3 O 2.17-2.31
6 Bi 0.5722 0.8864 0.2751  3 O 2.17-2.31
7 S 0.0000 0.0000 0.0000  6 Bi 3.03, 6 O 3.37
8 O 0.5766 0.1871 0.3882  2 Bi 2.17-2.29
9 O 0.6186 0.6186 0.1442  3 Bi 2.31
10 O 0.4234 0.8129 0.6118  2 Bi 2.17-2.29
11 O 0.1871 0.8482 0.3882  2 Bi 2.17-2.29
12 O 0.3814 0.3814 0.8558  3 Bi 2.31
13 O 0.1518 0.4234 0.6118  2 Bi 2.17-2.29
14 O 0.8482 0.5766 0.3882  2 Bi 2.17-2.29
15 O 0.8129 0.1518 0.6118  2 Bi 2.17-2.29

Calculated values
**Energy relative to the elements, uncorrected**: -1.11 eV per atom



DFT (GGA-PBE) results for crystalline Bi4SO5 at its relaxed geometry.

abc: 3.8763 7.0295 8.7192
angles: 119.96 102.84 90.00
With the nearest neighbours (Å) after each atom.
Positions (direct):
1 O 0.5000 0.5000 0.0000  4 Bi 2.48
2 O 0.1876 0.9710 0.3751  3 Bi 2.26-2.32
3 O 0.8124 0.0290 0.6249  3 Bi 2.26-2.32
4 O 0.8372 0.5299 0.6744  2 Bi 2.10-2.22
5 O 0.1628 0.4701 0.3256  2 Bi 2.10-2.22
6 S 0.5000 0.0000 0.0000  4 Bi 2.80
7 Bi 0.9806 0.6923 0.9613  1 O 2.10
8 Bi 0.7228 0.1803 0.4456  4 O 2.22-2.32
9 Bi 0.2772 0.8197 0.5544  4 O 2.22-2.32
10 Bi 0.0194 0.3077 0.0387  1 O 2.10

Calculated values
**Energy relative to the elements, uncorrected**: -0.93 eV per atom
**Polymorph energy (0 for the lowest one)**: 16.3 meV/atom



DFT (GGA-PBE) results for crystalline BiSO at its relaxed geometry.

abc: 3.5098 3.5098 5.1752
angles: 109.82 109.82 90.00
With the nearest neighbours (Å) after each atom.
Positions (direct):
1 Bi 0.6995 0.6995 0.3991  4 O 2.58
2 O 0.2767 0.2767 0.5535  1 S 2.30
3 S 0.0237 0.0237 0.0474  1 O 2.30

Calculated values
**Energy relative to the elements, uncorrected**: -0.09 eV per atom
**Polymorph energy (0 for the lowest one)**: 715.8 meV/atom